# PdRuPt4

A geometry-optimized PdRuPt4 structure (PBE-GGA, the Alexandria database).

Unit cell a=2.772 b=2.772 c=11.937 alpha=90.00 beta=90.00 gamma=90.00
Fractional positions:
1 Pd 0.000 0.000 0.000
2 Ru 0.500 0.500 0.500
3 Pt 0.000 0.000 0.342
4 Pt 0.000 0.000 0.658
5 Pt 0.500 0.500 0.170
6 Pt 0.500 0.500 0.830

space group: P4/mmm
formation enthalpy at 0 K: -0.032 eV per atom
size of the total moment: 0.0 μB/f.u.
density of states at the Fermi level: 9.5 states/eV/f.u.